Density functional theory data (GGA-PBE) for crystalline PdIBr3 at its relaxed geometry.

It has space group P2/c (No. 13), with a = 7.551 Å, b = 8.706 Å, c = 12.329 Å, α = 90.00°, β = 90.86° and γ = 90.00°. The inequivalent atoms are Pd at (0.068, 0.155, 0.108), I at (0.033, 0.477, 0.124), Br at (0.077, 0.157, 0.578), Br at (0.220, 0.130, 0.290) and Br at (0.361, 0.179, 0.026).

The energy above the lowest structure with this stoichiometry comes out at 0 meV per atom. The calculation puts the raw formation energy at -0.1476 eV/atom.

Density functional theory data (GGA-PBE) for crystalline Sm3Ho3Er2 at its relaxed geometry.

It has space group Cmcm (No. 63), with a = 5.503 Å, b = 11.794 Å, c = 16.108 Å, α = 90.00°, β = 90.00° and γ = 90.00°. The inequivalent atoms are Sm at (0.000, 0.041, 0.250), Sm at (0.000, 0.118, 0.551), Ho at (0.000, 0.237, 0.750), Ho at (0.000, 0.423, 0.591) and Er at (0.000, 0.276, 0.132).

The energy above the lowest structure with this stoichiometry comes out at 15 meV per atom. As for the energy of formation: 0.1418 eV per atom.

Density functional theory data (GGA-PBE) for crystalline KCuNi at its relaxed geometry.

It has space group F-43m (No. 216), with a = 6.728 Å, b = 6.728 Å, c = 6.728 Å, α = 90.00°, β = 90.00° and γ = 90.00°. The inequivalent atoms are K at (0.000, 0.000, 0.000), Cu at (0.250, 0.250, 0.750) and Ni at (0.250, 0.250, 0.250).

The energy above the lowest structure with this stoichiometry comes out at 1088 meV per atom. As for the energy of formation: 1.5217 eV per atom.

Density functional theory data (GGA-PBE) for crystalline ZrCo5H6 at its relaxed geometry.

It has space group C2/m (No. 12), with a = 4.728 Å, b = 8.192 Å, c = 4.713 Å, α = 90.00°, β = 110.21° and γ = 90.00°. The inequivalent atoms are Zr at (0.000, 0.000, 0.000), Co at (0.000, 0.164, 0.500), Co at (0.000, 0.335, 0.000), Co at (0.000, 0.500, 0.500), H at (0.205, 0.500, 0.260) and H at (0.225, 0.301, 0.757).

Its raw total energy is -5.43 eV/atom.

Density functional theory data (GGA-PBE) for crystalline Ac2ErGaPd6 at its relaxed geometry.

It has space group P-1 (No. 2), with a = 5.749 Å, b = 6.742 Å, c = 7.171 Å, α = 78.80°, β = 66.39° and γ = 64.82°. The inequivalent atoms are Ac at (0.238, 0.299, 0.225), Er at (0.000, 0.000, 0.000), Ga at (0.500, 0.500, 0.500), Pd at (0.254, 0.904, 0.591), Pd at (0.256, 0.742, 0.259) and Pd at (0.258, 0.258, 0.743).

As for the energy of formation: -0.6815 eV per atom.

Density functional theory data (GGA-PBE) for crystalline KTlAg2Cl4 at its relaxed geometry.

It has space group I222 (No. 23), with a = 7.661 Å, b = 7.667 Å, c = 8.100 Å, α = 90.00°, β = 90.00° and γ = 90.00°. The inequivalent atoms are K at (0.000, 0.000, 0.000), Tl at (0.000, 0.000, 0.500), Ag at (0.000, 0.500, 0.308) and Cl at (0.225, 0.283, 0.712).

The calculation puts the raw formation energy at -0.9565 eV/atom.

Density functional theory data (GGA-PBE) for crystalline CeSm14Mg at its relaxed geometry.

It has space group Amm2 (No. 38), with a = 10.204 Å, b = 10.155 Å, c = 10.156 Å, α = 90.00°, β = 90.00° and γ = 90.00°. The inequivalent atoms are Ce at (0.000, 0.000, 0.000), Sm at (0.000, 0.249, 0.750), Sm at (0.246, 0.000, 0.249), Sm at (0.246, 0.249, 0.000), Sm at (0.247, 0.000, 0.751), Sm at (0.500, 0.000, 0.000), Sm at (0.500, 0.000, 0.500), Sm at (0.500, 0.250, 0.250) and Mg at (0.000, 0.000, 0.500).

As for the energy of formation: 0.0251 eV per atom.

Density functional theory data (GGA-PBE) for crystalline Nd2Ta3Se2O8 at its relaxed geometry.

It has space group Pnnm (No. 58), with a = 9.982 Å, b = 11.952 Å, c = 7.655 Å, α = 90.00°, β = 90.00° and γ = 90.00°. The inequivalent atoms are Nd at (0.210, 0.156, 0.000), Nd at (0.227, 0.148, 0.500), Ta at (0.000, 0.500, 0.286), Ta at (0.136, 0.916, 0.250), Se at (0.019, 0.336, 0.500), Se at (0.023, 0.361, 0.000), O at (0.056, 0.104, 0.254), O at (0.136, 0.949, 0.000), O at (0.151, 0.952, 0.500), O at (0.197, 0.525, 0.265) and O at (0.213, 0.775, 0.248).

The calculation puts the raw formation energy at -2.7277 eV/atom.

Density functional theory data (GGA-PBE) for crystalline CaCr2P at its relaxed geometry.

It has space group Immm (No. 71), with a = 2.593 Å, b = 4.830 Å, c = 9.841 Å, α = 90.00°, β = 90.00° and γ = 90.00°. The inequivalent atoms are Ca at (0.000, 0.000, 0.000), Cr at (0.000, 0.500, 0.203) and P at (0.000, 0.000, 0.500).

As for the energy of formation: 0.3719 eV per atom.

Density functional theory data (GGA-PBE) for crystalline As3POs at its relaxed geometry.

It has space group Pm-3m (No. 221), with a = 4.538 Å, b = 4.538 Å, c = 4.538 Å, α = 90.00°, β = 90.00° and γ = 90.00°. The inequivalent atoms are As at (0.000, 0.000, 0.500), P at (0.000, 0.000, 0.000) and Os at (0.500, 0.500, 0.500).

The energy above the lowest structure with this stoichiometry comes out at 427 meV per atom. As for the energy of formation: 1.3250 eV per atom.

Density functional theory data (GGA-PBE) for crystalline La8Ho3 at its relaxed geometry.

It has space group C2/m (No. 12), with a = 11.661 Å, b = 5.184 Å, c = 13.264 Å, α = 90.00°, β = 104.89° and γ = 90.00°. The inequivalent atoms are La at (0.047, 0.000, 0.318), La at (0.137, 0.000, 0.954), La at (0.180, 0.500, 0.773), La at (0.227, 0.000, 0.589), Ho at (0.000, 0.500, 0.500) and Ho at (0.092, 0.500, 0.134).

The energy above the lowest structure with this stoichiometry comes out at 0 meV per atom. As for the energy of formation: 0.0241 eV per atom.

Density functional theory data (GGA-PBE) for crystalline Rb2WCBr6 at its relaxed geometry.

It has space group I4/mmm (No. 139), with a = 7.333 Å, b = 7.333 Å, c = 11.763 Å, α = 90.00°, β = 90.00° and γ = 90.00°. The inequivalent atoms are Rb at (0.000, 0.500, 0.250), W at (0.000, 0.000, 0.000), C at (0.000, 0.000, 0.500), Br at (0.000, 0.000, 0.219) and Br at (0.249, 0.249, 0.500).

The calculation puts the raw formation energy at -0.2160 eV/atom.